Arrangement a

# PBE GaCoIr3, relaxed
data_GaCoIr3
_symmetry_space_group_name_H-M 'P m -3 m'
_symmetry_Int_Tables_number 221
_symmetry_space_group_name_Hall '-P 4 2 3'
_cell_length_a 4.470
_cell_length_b 4.470
_cell_length_c 4.470
_cell_angle_alpha 90.00
_cell_angle_beta 90.00
_cell_angle_gamma 90.00
loop_
_atom_site_label
_atom_site_type_symbol
_atom_site_fract_x
_atom_site_fract_y
_atom_site_fract_z
_atom_site_occupancy
Ga1 Ga 0.000 0.000 0.000 1
Co1 Co 0.500 0.500 0.500 1
Ir1 Ir 0.000 0.500 0.500 1
# **D(E_F)**: 4.03 states/eV per cell



Arrangement b

# PBE GaCoIr3, relaxed
data_GaCoIr3
_symmetry_space_group_name_H-M 'P m -3 m'
_symmetry_Int_Tables_number 221
_symmetry_space_group_name_Hall '-P 4 2 3'
_cell_length_a 4.512
_cell_length_b 4.512
_cell_length_c 4.512
_cell_angle_alpha 90.00
_cell_angle_beta 90.00
_cell_angle_gamma 90.00
loop_
_atom_site_label
_atom_site_type_symbol
_atom_site_fract_x
_atom_site_fract_y
_atom_site_fract_z
_atom_site_occupancy
Ga1 Ga 0.000 0.000 0.000 1
Co1 Co 0.500 0.500 0.500 1
Ir1 Ir 0.000 0.000 0.500 1
# **D(E_F)**: 8.09 states/eV per cell



Relative energies, in meV/atom, with the most stable structure set to zero: arrangement a 0; arrangement b 260.



Arrangement a

# PBE La3GaCo, relaxed
data_La3GaCo
_symmetry_space_group_name_H-M 'P -1'
_symmetry_Int_Tables_number 2
_cell_length_a 5.338
_cell_length_b 6.349
_cell_length_c 9.451
_cell_angle_alpha 95.19
_cell_angle_beta 106.37
_cell_angle_gamma 114.84
loop_
_symmetry_equiv_pos_as_xyz
'x,y,z'
'-x,-y,-z'
loop_
_atom_site_label
_atom_site_type_symbol
_atom_site_fract_x
_atom_site_fract_y
_atom_site_fract_z
_atom_site_occupancy
La1 La 0.011 0.163 0.359 1
La2 La 0.202 0.828 0.076 1
La3 La 0.358 0.479 0.739 1
Ga1 Ga 0.353 0.769 0.436 1
Co1 Co 0.346 0.251 0.942 1
# **D(E_F)**: 8.36 states/eV per cell



Arrangement b

# PBE La3GaCo, relaxed
data_La3GaCo
_symmetry_space_group_name_H-M 'P m -3 m'
_symmetry_Int_Tables_number 221
_symmetry_space_group_name_Hall '-P 4 2 3'
_cell_length_a 5.268
_cell_length_b 5.268
_cell_length_c 5.268
_cell_angle_alpha 90.00
_cell_angle_beta 90.00
_cell_angle_gamma 90.00
loop_
_atom_site_label
_atom_site_type_symbol
_atom_site_fract_x
_atom_site_fract_y
_atom_site_fract_z
_atom_site_occupancy
La1 La 0.000 0.000 0.500 1
Ga1 Ga 0.500 0.500 0.500 1
Co1 Co 0.000 0.000 0.000 1
# **D(E_F)**: 5.78 states/eV per cell



Relative energies, in meV/atom, with the most stable structure set to zero: arrangement a 0; arrangement b 84.



Arrangement a

# PBE LiLa2GaCo, relaxed
data_LiLa2GaCo
_symmetry_space_group_name_H-M 'P 4/m m m'
_symmetry_Int_Tables_number 123
_symmetry_space_group_name_Hall '-P 4 2'
_cell_length_a 5.188
_cell_length_b 5.188
_cell_length_c 4.711
_cell_angle_alpha 90.00
_cell_angle_beta 90.00
_cell_angle_gamma 90.00
loop_
_atom_site_label
_atom_site_type_symbol
_atom_site_fract_x
_atom_site_fract_y
_atom_site_fract_z
_atom_site_occupancy
Li1 Li 0.000 0.000 0.000 1
La1 La 0.000 0.500 0.500 1
Ga1 Ga 0.500 0.500 0.000 1
Co1 Co 0.000 0.000 0.500 1
# **D(E_F)**: 6.02 states/eV per cell



Arrangement b

# PBE LiLa2GaCo, relaxed
data_LiLa2GaCo
_symmetry_space_group_name_H-M 'P 4/m m m'
_symmetry_Int_Tables_number 123
_symmetry_space_group_name_Hall '-P 4 2'
_cell_length_a 5.426
_cell_length_b 5.426
_cell_length_c 4.819
_cell_angle_alpha 90.00
_cell_angle_beta 90.00
_cell_angle_gamma 90.00
loop_
_atom_site_label
_atom_site_type_symbol
_atom_site_fract_x
_atom_site_fract_y
_atom_site_fract_z
_atom_site_occupancy
Li1 Li 0.000 0.000 0.000 1
La1 La 0.000 0.500 0.500 1
Ga1 Ga 0.500 0.500 0.000 1
Co1 Co 0.500 0.500 0.500 1
# **D(E_F)**: 4.70 states/eV per cell



Relative energies, in meV/atom, with the most stable structure set to zero: arrangement a 109; arrangement b 0.



Arrangement a

# PBE La2MgGaCo, relaxed
data_La2MgGaCo
_symmetry_space_group_name_H-M 'P 4/m m m'
_symmetry_Int_Tables_number 123
_symmetry_space_group_name_Hall '-P 4 2'
_cell_length_a 5.325
_cell_length_b 5.325
_cell_length_c 4.692
_cell_angle_alpha 90.00
_cell_angle_beta 90.00
_cell_angle_gamma 90.00
loop_
_atom_site_label
_atom_site_type_symbol
_atom_site_fract_x
_atom_site_fract_y
_atom_site_fract_z
_atom_site_occupancy
La1 La 0.000 0.500 0.000 1
Mg1 Mg 0.000 0.000 0.500 1
Ga1 Ga 0.500 0.500 0.500 1
Co1 Co 0.500 0.500 0.000 1
# **D(E_F)**: 6.01 states/eV per cell



Arrangement b

# PBE La2MgGaCo, relaxed
data_La2MgGaCo
_symmetry_space_group_name_H-M 'P 4/m m m'
_symmetry_Int_Tables_number 123
_symmetry_space_group_name_Hall '-P 4 2'
_cell_length_a 5.176
_cell_length_b 5.176
_cell_length_c 4.966
_cell_angle_alpha 90.00
_cell_angle_beta 90.00
_cell_angle_gamma 90.00
loop_
_atom_site_label
_atom_site_type_symbol
_atom_site_fract_x
_atom_site_fract_y
_atom_site_fract_z
_atom_site_occupancy
La1 La 0.000 0.500 0.000 1
Mg1 Mg 0.000 0.000 0.500 1
Ga1 Ga 0.500 0.500 0.500 1
Co1 Co 0.000 0.000 0.000 1
# **D(E_F)**: 4.67 states/eV per cell



Relative energies, in meV/atom, with the most stable structure set to zero: arrangement a 0; arrangement b 57.



Arrangement a

# PBE LaPmGaCo, relaxed
data_LaPmGaCo
_symmetry_space_group_name_H-M 'A m m 2'
_symmetry_Int_Tables_number 38
_cell_length_a 4.342
_cell_length_b 3.936
_cell_length_c 11.541
_cell_angle_alpha 90.00
_cell_angle_beta 90.00
_cell_angle_gamma 90.00
loop_
_symmetry_equiv_pos_as_xyz
'x,y,z'
'-x,-y,z'
'-x,y,z'
'x,-y,z'
'x,y+1/2,z+1/2'
'-x,-y+1/2,z+1/2'
'-x,y+1/2,z+1/2'
'x,-y+1/2,z+1/2'
loop_
_atom_site_label
_atom_site_type_symbol
_atom_site_fract_x
_atom_site_fract_y
_atom_site_fract_z
_atom_site_occupancy
La1 La 0.000 0.000 0.000 1
Pm1 Pm 0.500 0.000 0.273 1
Ga1 Ga 0.000 0.000 0.706 1
Co1 Co 0.500 0.000 0.594 1
# **D(E_F)**: 7.90 states/eV per cell



Arrangement b

# PBE LaPmGaCo, relaxed
data_LaPmGaCo
_symmetry_space_group_name_H-M 'F -4 3 m'
_symmetry_Int_Tables_number 216
_symmetry_space_group_name_Hall 'F -4 2 3'
_cell_length_a 7.254
_cell_length_b 7.254
_cell_length_c 7.254
_cell_angle_alpha 90.00
_cell_angle_beta 90.00
_cell_angle_gamma 90.00
loop_
_atom_site_label
_atom_site_type_symbol
_atom_site_fract_x
_atom_site_fract_y
_atom_site_fract_z
_atom_site_occupancy
La1 La 0.000 0.000 0.000 1
Pm1 Pm 0.000 0.000 0.500 1
Ga1 Ga 0.250 0.250 0.750 1
Co1 Co 0.250 0.250 0.250 1
# **D(E_F)**: 11.71 states/eV per cell



Relative energies, in meV/atom, with the most stable structure set to zero: arrangement a 0; arrangement b 111.



Arrangement a

# PBE LaPrGaCo, relaxed
data_LaPrGaCo
_symmetry_space_group_name_H-M 'A m m 2'
_symmetry_Int_Tables_number 38
_cell_length_a 4.355
_cell_length_b 3.982
_cell_length_c 11.601
_cell_angle_alpha 90.00
_cell_angle_beta 90.00
_cell_angle_gamma 90.00
loop_
_symmetry_equiv_pos_as_xyz
'x,y,z'
'-x,-y,z'
'-x,y,z'
'x,-y,z'
'x,y+1/2,z+1/2'
'-x,-y+1/2,z+1/2'
'-x,y+1/2,z+1/2'
'x,-y+1/2,z+1/2'
loop_
_atom_site_label
_atom_site_type_symbol
_atom_site_fract_x
_atom_site_fract_y
_atom_site_fract_z
_atom_site_occupancy
La1 La 0.000 0.000 0.000 1
Pr1 Pr 0.500 0.000 0.275 1
Ga1 Ga 0.000 0.000 0.703 1
Co1 Co 0.500 0.000 0.592 1
# **D(E_F)**: 8.35 states/eV per cell



Arrangement b

# PBE LaPrGaCo, relaxed
data_LaPrGaCo
_symmetry_space_group_name_H-M 'F -4 3 m'
_symmetry_Int_Tables_number 216
_symmetry_space_group_name_Hall 'F -4 2 3'
_cell_length_a 7.312
_cell_length_b 7.312
_cell_length_c 7.312
_cell_angle_alpha 90.00
_cell_angle_beta 90.00
_cell_angle_gamma 90.00
loop_
_atom_site_label
_atom_site_type_symbol
_atom_site_fract_x
_atom_site_fract_y
_atom_site_fract_z
_atom_site_occupancy
La1 La 0.000 0.000 0.000 1
Pr1 Pr 0.000 0.000 0.500 1
Ga1 Ga 0.250 0.250 0.250 1
Co1 Co 0.250 0.250 0.750 1
# **D(E_F)**: 11.74 states/eV per cell



Relative energies, in meV/atom, with the most stable structure set to zero: arrangement a 0; arrangement b 112.